# 1
An optimized crystal structure of CeSmRhI. Source: Alexandria via LeMat-Bulk, functional PBE.

Total magnetization = 0.2307 μB/atom
Calculated total energy = -5.7744 eV per atom

Structure (extended XYZ):
```
4
Lattice="2.0494 1.1832 8.1564 -2.0494 1.1832 8.1564 0.0000 -2.3664 8.1564" Properties=species:S:1:pos:R:3 pbc="T T T"
Ce 0.0000 0.0000 0.0000
Sm 0.0000 0.0000 5.1086
Rh 0.0000 0.0000 14.8713
I 0.0000 0.0000 10.7268
```

=====

# 2
An optimized crystal structure of CeThRhI. Source: Alexandria via LeMat-Bulk, functional PBE.

Total magnetization = 0.2508 μB/atom
Calculated total energy = -6.3876 eV per atom

Structure (extended XYZ):
```
4
Lattice="2.0693 1.1947 8.1881 -2.0693 1.1947 8.1881 0.0000 -2.3895 8.1881" Properties=species:S:1:pos:R:3 pbc="T T T"
Ce 0.0000 0.0000 0.0000
Th 0.0000 0.0000 19.4350
Rh 0.0000 0.0000 9.7886
I 0.0000 0.0000 5.6600
```

=====

# 3
An optimized crystal structure of CeYRhI. Source: Alexandria via LeMat-Bulk, functional PBE.

Total magnetization = 0.2337 μB/atom
Calculated total energy = -6.1970 eV per atom

Structure (extended XYZ):
```
4
Lattice="2.0378 1.1765 8.0836 -2.0378 1.1765 8.0836 0.0000 -2.3530 8.0836" Properties=species:S:1:pos:R:3 pbc="T T T"
Ce 0.0000 0.0000 0.0000
Y 0.0000 0.0000 5.0789
Rh 0.0000 0.0000 14.7207
I 0.0000 0.0000 10.6695
```

=====

# 4
An optimized crystal structure of CeRuI. Source: Alexandria via LeMat-Bulk, functional PBE.

Total magnetization = 0.0000 μB/atom
Calculated total energy = -6.0468 eV per atom

Structure (extended XYZ):
```
6
Lattice="4.0261 0.0000 0.0000 1.1786 3.9309 0.0000 0.5075 0.4732 11.2770" Properties=species:S:1:pos:R:3 pbc="T T T"
Ce 1.3003 0.9821 1.2040
Ce 4.4120 3.4220 10.0730
Ru 1.8079 1.4591 9.5094
Ru 3.9044 2.9449 1.7676
I 1.8912 2.9492 3.7784
I 3.8211 1.4549 7.4986
```